(1)
VASP calculation (PBE) on a geometry-optimized La4ThIn5 structure.

Cell lengths 3.5933, 3.5933, 23.1886 Å; angles 90.00, 90.00, 90.00 degrees
Closest atoms and distances in Å follow each position.
Fractional positions:
1 La 0.0000 0.0000 0.8021  8 In 3.44-3.45, 4 La 3.59
2 In 0.5000 0.5000 0.2987  8 La 3.45, 4 In 3.59
3 In 0.5000 0.5000 0.9024  4 Th 3.40, 4 La 3.44, 4 In 3.59
4 La 0.0000 0.0000 0.1979  8 In 3.44-3.45, 4 La 3.59
5 La 0.0000 0.0000 0.6005  8 In 3.45, 4 La 3.59
6 In 0.5000 0.5000 0.0976  4 Th 3.40, 4 La 3.44, 4 In 3.59
7 Th 0.0000 0.0000 0.0000  8 In 3.40, 4 Th 3.59
8 In 0.5000 0.5000 0.5000  8 La 3.45, 4 In 3.59
9 In 0.5000 0.5000 0.7013  8 La 3.45, 4 In 3.59
10 La 0.0000 0.0000 0.3995  8 In 3.45, 4 La 3.59

Crystal system   tetragonal
Formation energy from the elements   -0.4528 eV/atom

***

(2)
VASP calculation (PBE) on a geometry-optimized RbAg2SbPb structure.

Cell lengths 5.3300, 6.4330, 5.3300 Å; angles 90.00, 90.00, 90.00 degrees
Closest atoms and distances in Å follow each position.
Fractional positions:
1 Rb 0.5000 0.5000 0.5000  4 Pb 3.77, 8 Ag 4.18
2 Ag 0.5000 0.0000 0.0000  2 Sb 2.66
3 Sb 0.0000 0.0000 0.0000  4 Ag 2.66
4 Pb 0.0000 0.5000 0.0000  2 Sb 3.22
5 Ag 0.0000 0.0000 0.5000  2 Sb 2.66

Crystal system   tetragonal
Formation energy from raw total energies   0.21 eV per atom

***

(3)
VASP calculation (PBE) on a geometry-optimized ZrCd2Re structure.

Cell lengths 10.5394, 10.5394, 10.5394 Å; angles 16.06, 16.06, 16.06 degrees
Closest atoms and distances in Å follow each position.
Fractional positions:
1 Cd 0.0001 0.0001 0.0001  9 Cd 2.94-3.23, 3 Zr 3.21
2 Zr 0.7542 0.7542 0.7542  6 Zr 2.94, 3 Re 3.01, 3 Cd 3.21
3 Cd 0.2452 0.2452 0.2452  9 Cd 2.94-3.23, 3 Re 2.97
4 Re 0.5005 0.5005 0.5005  6 Re 2.94, 3 Cd 2.97, 3 Zr 3.01

Crystal system   trigonal
Energy above the lowest structure with this stoichiometry   144 meV per atom
Formation energy from the elements   0.3034 eV/atom

***

(4)
VASP calculation (PBE) on a geometry-optimized ThAl10Fe2 structure.

Cell lengths 6.7987, 6.7987, 9.0328 Å; angles 90.00, 90.00, 97.74 degrees
Closest atoms and distances in Å follow each position.
Fractional positions:
1 Th 0.1254 0.8746 0.2500  14 Al 3.14-3.30, 4 Fe 3.42
2 Al 0.2278 0.2278 0.0000  2 Fe 2.57, 8 Al 2.69-2.84
3 Al 0.5189 0.7784 0.7500  7 Al 2.63-2.86, 2 Fe 2.73
4 Al 0.2278 0.2278 0.5000  2 Fe 2.57, 8 Al 2.69-2.84
5 Al 0.6238 0.3762 0.5498  6 Al 2.58-2.78, 2 Fe 2.62
6 Al 0.8390 0.1610 0.4004  2 Fe 2.58, 8 Al 2.58-2.86
7 Al 0.3762 0.6238 0.0498  6 Al 2.58-2.78, 2 Fe 2.62
8 Al 0.3762 0.6238 0.4502  6 Al 2.58-2.78, 2 Fe 2.62
9 Al 0.4096 0.1346 0.7500  2 Fe 2.54, 8 Al 2.63-2.83
10 Fe 0.5000 0.0000 0.5000  10 Al 2.54-2.73
11 Al 0.7722 0.7722 0.5000  2 Fe 2.57, 8 Al 2.69-2.84
12 Al 0.4811 0.2216 0.2500  7 Al 2.63-2.86, 2 Fe 2.73
13 Al 0.8390 0.1610 0.0996  2 Fe 2.58, 8 Al 2.58-2.86
14 Al 0.5904 0.8654 0.2500  2 Fe 2.54, 8 Al 2.63-2.83
15 Al 0.1346 0.4096 0.2500  2 Fe 2.54, 8 Al 2.63-2.83
16 Fe 0.0000 0.5000 0.0000  10 Al 2.54-2.73
17 Al 0.2216 0.4811 0.7500  7 Al 2.63-2.86, 2 Fe 2.73
18 Al 0.8654 0.5904 0.7500  2 Fe 2.54, 8 Al 2.63-2.83
19 Fe 0.5000 0.0000 0.0000  10 Al 2.54-2.73
20 Fe 0.0000 0.5000 0.5000  10 Al 2.54-2.73
21 Th 0.8746 0.1254 0.7500  14 Al 3.14-3.30, 4 Fe 3.42
22 Al 0.6238 0.3762 0.9502  6 Al 2.58-2.78, 2 Fe 2.62
23 Al 0.1610 0.8390 0.5996  2 Fe 2.58, 8 Al 2.58-2.86
24 Al 0.1610 0.8390 0.9004  2 Fe 2.58, 8 Al 2.58-2.86
25 Al 0.7722 0.7722 0.0000  2 Fe 2.57, 8 Al 2.69-2.84
26 Al 0.7784 0.5189 0.2500  7 Al 2.63-2.86, 2 Fe 2.73

Crystal system   orthorhombic
Formation energy from the elements   -0.3525 eV/atom

***

(5)
VASP calculation (PBE) on a geometry-optimized DyHS structure.

Cell lengths 4.8592, 4.8596, 5.3999 Å; angles 90.00, 90.00, 95.54 degrees
Closest atoms and distances in Å follow each position.
Fractional positions:
1 S 0.2535 0.2535 0.5000  4 Dy 2.71
2 H 0.5025 0.0025 0.9991  2 Dy 2.21-2.22
3 S 0.7535 0.7535 0.5000  4 Dy 2.71
4 Dy 0.2534 0.7534 0.2769  2 H 2.21-2.22
5 Dy 0.7534 0.2534 0.7231  2 H 2.21-2.22
6 H 0.0025 0.5025 0.0009  2 Dy 2.21-2.22

Total DFT energy (no corrections)   -15.64 eV/f.u.
Crystal system   orthorhombic

***

(6)
VASP calculation (PBE) on a geometry-optimized Pr4HgPI2 structure.

Cell lengths 4.2588, 7.7146, 8.1618 Å; angles 107.09, 90.00, 90.00 degrees
Closest atoms and distances in Å follow each position.
Fractional positions:
1 I 0.5000 0.0000 0.5000  6 Pr 3.48-3.50
2 Pr 0.0000 0.2853 0.8007  2 P 2.89, 1 Hg 3.10
3 P 0.5000 0.5000 0.0000  6 Pr 2.89-2.91
4 Pr 0.5000 0.2556 0.2124  1 P 2.91, 2 Hg 3.07
5 I 0.0000 0.5000 0.5000  6 Pr 3.32-3.34
6 Pr 0.0000 0.7147 0.1993  2 P 2.89, 1 Hg 3.10
7 Hg 0.0000 0.0000 0.0000  6 Pr 3.07-3.10
8 Pr 0.5000 0.7444 0.7876  1 P 2.91, 2 Hg 3.07

Crystal system   monoclinic
Formation energy from raw total energies   -0.99 eV per atom

***

(7)
VASP calculation (PBE) on a geometry-optimized Sr2PdI structure.

Cell lengths 8.3713, 8.3713, 7.4511 Å; angles 55.82, 55.82, 90.00 degrees
Closest atoms and distances in Å follow each position.
Fractional positions:
1 Sr 0.8750 0.8327 0.7500  2 Pd 2.95
2 I 0.7500 0.2500 0.5000  4 Sr 3.41
3 Sr 0.5827 0.1250 0.2500  2 Pd 2.95
4 Sr 0.1673 0.6250 0.2500  2 Pd 2.95
5 Sr 0.3750 0.4173 0.7500  2 Pd 2.95
6 I 0.0000 0.0000 0.0000  4 Sr 3.41
7 Pd 0.2500 0.7500 0.5000  4 Sr 2.95
8 Pd 0.5000 0.5000 0.0000  4 Sr 2.95

Crystal system   tetragonal
Formation energy from raw total energies   -0.69 eV per atom
Energy above the lowest structure with this stoichiometry   262 meV per atom

***

(8)
VASP calculation (PBE) on a geometry-optimized Ca2ScTc structure.

Cell lengths 3.1451, 3.1451, 10.4970 Å; angles 90.00, 90.00, 104.44 degrees
Closest atoms and distances in Å follow each position.
Fractional positions:
1 Sc 0.5000 0.5000 0.2500  4 Sc 3.15
2 Ca 0.0000 0.0000 0.5392  2 Tc 2.93, 4 Ca 3.15
3 Ca 0.0000 0.0000 0.9608  2 Tc 2.93, 4 Ca 3.15
4 Tc 0.5000 0.5000 0.7500  4 Ca 2.93, 4 Tc 3.15

Crystal system   orthorhombic
Energy above the lowest structure with this stoichiometry   458 meV per atom
Formation energy from the elements   0.5840 eV/atom

***

(9)
VASP calculation (PBE) on a geometry-optimized Sc2AgRu structure.

Cell lengths 8.7620, 8.7620, 8.7620 Å; angles 21.24, 21.24, 21.24 degrees
Closest atoms and distances in Å follow each position.
Fractional positions:
1 Ru 0.7500 0.7500 0.7500  6 Sc 2.66
2 Sc 0.4903 0.4903 0.4903  3 Ru 2.66
3 Sc 0.0097 0.0097 0.0097  3 Ru 2.66
4 Ag 0.2500 0.2500 0.2500  6 Sc 3.03, 6 Ag 3.23

Crystal system   trigonal
Formation energy from the elements   -0.1979 eV/atom

***

(10)
VASP calculation (PBE) on a geometry-optimized InPbBr2 structure.

Cell lengths 6.3017, 6.3017, 5.6755 Å; angles 76.85, 76.85, 34.84 degrees
Closest atoms and distances in Å follow each position.
Fractional positions:
1 Br 0.7709 0.7709 0.6852  1 In 3.13, 2 Pb 3.29
2 Pb 0.2129 0.2129 0.1743  1 Br 2.91
3 Br 0.9922 0.9922 0.0470  1 Pb 2.91, 2 In 3.14
4 In 0.5240 0.5240 0.5935  3 Br 3.13-3.14, 2 Pb 3.44

Crystal system   monoclinic
Formation energy from raw total energies   -0.47 eV per atom
Energy above the lowest structure with this stoichiometry   68 meV per atom

***

(11)
VASP calculation (PBE) on a geometry-optimized Rb2Sn2SeS2 structure.

Cell lengths 4.0419, 7.1698, 9.8427 Å; angles 58.64, 90.04, 73.75 degrees
Closest atoms and distances in Å follow each position.
Fractional positions:
1 Rb 0.4370 0.1243 0.6699  3 S 3.37-3.44, 2 Se 3.51-3.52
2 Rb 0.5630 0.8757 0.3301  3 S 3.37-3.44, 2 Se 3.51-3.52
3 Sn 0.2307 0.5372 0.1268  2 S 2.65, 1 Se 2.72
4 S 0.1924 0.6164 0.6666  2 Sn 2.65
5 S 0.8076 0.3836 0.3334  2 Sn 2.65
6 Sn 0.7693 0.4628 0.8732  2 S 2.65, 1 Se 2.72
7 Se 0.0000 0.0000 0.0000  2 Sn 2.72

Crystal system   triclinic
Formation energy from raw total energies   -0.76 eV per atom

***

(12)
VASP calculation (PBE) on a geometry-optimized TaIr3Ru2 structure.

Cell lengths 4.8508, 5.5812, 7.3713 Å; angles 112.25, 89.96, 90.00 degrees
Closest atoms and distances in Å follow each position.
Fractional positions:
1 Ir 0.7498 0.4326 0.3628  3 Ta 2.66-2.82, 5 Ir 2.72-2.84, 2 Ru 2.76
2 Ru 0.5001 0.7578 0.0000  3 Ru 2.42-2.70, 2 Ir 2.71
3 Ru 0.9999 0.7579 0.0000  3 Ru 2.42-2.70, 2 Ir 2.71
4 Ir 0.7502 0.8532 0.7060  4 Ru 2.71, 6 Ir 2.72-2.84, 2 Ta 2.79
5 Ir 0.7498 0.9300 0.3629  3 Ta 2.66-2.82, 5 Ir 2.72-2.84, 2 Ru 2.76
6 Ru 0.0001 0.2421 0.0000  3 Ru 2.42-2.70, 2 Ir 2.71
7 Ta 0.2498 0.6532 0.3065  8 Ir 2.66-2.82, 4 Ru 2.81
8 Ir 0.2502 0.5674 0.6372  3 Ta 2.66-2.82, 5 Ir 2.72-2.84, 2 Ru 2.76
9 Ru 0.4999 0.2422 0.0000  3 Ru 2.42-2.70, 2 Ir 2.71
10 Ir 0.2498 0.1468 0.2940  4 Ru 2.71, 6 Ir 2.72-2.84, 2 Ta 2.79
11 Ir 0.2502 0.0700 0.6371  3 Ta 2.66-2.82, 5 Ir 2.72-2.84, 2 Ru 2.76
12 Ta 0.7502 0.3468 0.6935  8 Ir 2.66-2.82, 4 Ru 2.81

Crystal system   orthorhombic
Formation energy from the elements   0.0142 eV/atom

***

(13)
VASP calculation (PBE) on a geometry-optimized MnTeC3 structure.

Cell lengths 4.1196, 4.1196, 4.1196 Å; angles 90.00, 90.00, 90.00 degrees
Closest atoms and distances in Å follow each position.
Fractional positions:
1 C 0.0000 0.0000 0.5000  2 Te 2.06
2 Mn 0.5000 0.5000 0.5000  12 C 2.91
3 C 0.0000 0.5000 0.0000  2 Te 2.06
4 Te 0.0000 0.0000 0.0000  6 C 2.06
5 C 0.5000 0.0000 0.0000  2 Te 2.06

Crystal system   cubic
Formation energy from raw total energies   3.33 eV per atom
Energy above the lowest structure with this stoichiometry   1348 meV per atom

***

(14)
VASP calculation (PBE) on a geometry-optimized Ac2Pm7Pr3 structure.

Cell lengths 3.7212, 6.0393, 19.8108 Å; angles 93.07, 90.00, 90.00 degrees
Closest atoms and distances in Å follow each position.
Fractional positions:
1 Pm 0.5000 0.1821 0.1685  8 Pm 3.58-3.93, 2 Ac 3.90, 1 Pr 3.94
2 Pr 0.0000 0.7841 0.6284  6 Pm 3.72-4.05, 2 Pr 3.72, 4 Ac 3.87-3.88
3 Pr 0.5000 0.5000 0.0000  8 Pm 3.46-3.55, 2 Pr 3.72
4 Pm 0.5000 0.8179 0.8315  8 Pm 3.58-3.93, 2 Ac 3.90, 1 Pr 3.94
5 Ac 0.5000 0.2967 0.7068  3 Pm 3.41-3.56, 2 Ac 3.72
6 Pm 0.0000 0.3196 0.8604  7 Pm 3.46-3.72, 2 Pr 3.46, 2 Ac 3.56
7 Pm 0.0000 0.0000 0.0000  4 Pm 3.46-3.72, 4 Pr 3.55
8 Pr 0.0000 0.2159 0.3716  6 Pm 3.72-4.05, 2 Pr 3.72, 4 Ac 3.87-3.88
9 Pm 0.5000 0.2574 0.5343  2 Pm 3.30-3.33, 1 Ac 3.41
10 Pm 0.5000 0.7426 0.4657  2 Pm 3.30-3.33, 1 Ac 3.41
11 Pm 0.0000 0.6804 0.1396  7 Pm 3.46-3.72, 2 Pr 3.46, 2 Ac 3.56
12 Ac 0.5000 0.7033 0.2932  3 Pm 3.41-3.56, 2 Ac 3.72

Crystal system   monoclinic
Energy above the lowest structure with this stoichiometry   8 meV per atom
Formation energy from the elements   0.0949 eV/atom

***

(15)
VASP calculation (PBE) on a geometry-optimized NaDyTm2S4 structure.

Cell lengths 3.8649, 6.7600, 6.7705 Å; angles 109.00, 90.00, 90.00 degrees
Closest atoms and distances in Å follow each position.
Fractional positions:
1 S 0.0000 0.2439 0.7401  3 Tm 2.71-2.73, 1 Dy 2.78, 2 Na 2.80
2 Tm 0.5000 0.0000 0.5000  6 S 2.71-2.73
3 S 0.5000 0.7482 0.7442  3 Tm 2.73, 1 Na 2.78, 2 Dy 2.78
4 S 0.5000 0.2518 0.2558  3 Tm 2.73, 1 Na 2.78, 2 Dy 2.78
5 Tm 0.0000 0.5000 0.5000  6 S 2.73
6 Dy 0.0000 0.0000 0.0000  6 S 2.78
7 S 0.0000 0.7561 0.2599  3 Tm 2.71-2.73, 1 Dy 2.78, 2 Na 2.80
8 Na 0.5000 0.5000 0.0000  6 S 2.78-2.80

Crystal system   monoclinic
Formation energy from raw total energies   -1.90 eV per atom

***

(16)
VASP calculation (PBE) on a geometry-optimized SrCrSeN2 structure.

Cell lengths 4.7298, 4.7298, 6.3122 Å; angles 90.00, 90.00, 90.00 degrees
Closest atoms and distances in Å follow each position.
Fractional positions:
1 Sr 0.0000 0.0000 0.0000  4 N 2.36
2 N 0.0000 0.5000 0.0000  2 Sr 2.36
3 Se 0.0000 0.0000 0.5000  2 Sr 3.16, 4 Cr 3.34
4 Cr 0.5000 0.5000 0.5000  4 Se 3.34
5 N 0.5000 0.0000 0.0000  2 Sr 2.36

Crystal system   tetragonal
Formation energy from raw total energies   2.38 eV per atom
Energy above the lowest structure with this stoichiometry   2512 meV per atom

***

(17)
VASP calculation (PBE) on a geometry-optimized SmTlBi2O4 structure.

Cell lengths 3.9685, 3.9685, 10.4691 Å; angles 90.00, 90.00, 90.00 degrees
Closest atoms and distances in Å follow each position.
Fractional positions:
1 Bi 0.5000 0.5000 0.7582  4 O 2.27
2 O 0.0000 0.5000 0.1370  2 Bi 2.27, 2 Sm 2.45
3 O 0.5000 0.0000 0.8630  2 Bi 2.27, 2 Sm 2.45
4 O 0.5000 0.0000 0.1370  2 Bi 2.27, 2 Sm 2.45
5 Tl 0.0000 0.0000 0.5000  8 Bi 3.90, 4 Tl 3.97, 8 O 4.29
6 Sm 0.0000 0.0000 0.0000  8 O 2.45
7 O 0.0000 0.5000 0.8630  2 Bi 2.27, 2 Sm 2.45
8 Bi 0.5000 0.5000 0.2418  4 O 2.27

Crystal system   tetragonal
Formation energy from raw total energies   -1.61 eV per atom

***

(18)
VASP calculation (PBE) on a geometry-optimized Y2NiB10 structure.

Cell lengths 4.1492, 5.5609, 11.0991 Å; angles 90.00, 90.00, 90.00 degrees
Closest atoms and distances in Å follow each position.
Fractional positions:
1 B 0.0000 0.5303 0.3130  4 B 1.65-1.77
2 B 0.3011 0.2013 0.1141  4 B 1.65-1.77
3 B 0.6989 0.7987 0.8859  4 B 1.65-1.77
4 B 0.0000 0.9697 0.8130  4 B 1.65-1.77
5 B 0.0000 0.3413 0.1983  5 B 1.65-1.76
6 B 0.0000 0.6587 0.8017  5 B 1.65-1.76
7 Y 0.5000 0.6865 0.1372  20 B 2.83-2.99, 2 Ni 3.11
8 B 0.3011 0.2987 0.6141  4 B 1.65-1.77
9 B 0.0000 0.4697 0.6870  4 B 1.65-1.77
10 B 0.0000 0.8741 0.4590  4 B 1.67-1.77
11 B 0.0000 0.1587 0.6983  5 B 1.65-1.76
12 B 0.3011 0.7987 0.8859  4 B 1.65-1.77
13 Y 0.5000 0.8135 0.6372  20 B 2.83-2.99, 2 Ni 3.11
14 B 0.6989 0.2987 0.6141  4 B 1.65-1.77
15 Ni 0.0000 0.0000 0.0000  8 B 2.08-2.13
16 B 0.6989 0.2013 0.1141  4 B 1.65-1.77
17 B 0.0000 0.0303 0.1870  4 B 1.65-1.77
18 B 0.3011 0.7013 0.3859  4 B 1.65-1.77
19 Y 0.5000 0.3135 0.8628  20 B 2.83-2.99, 2 Ni 3.11
20 B 0.0000 0.1259 0.5410  4 B 1.67-1.77
21 Ni 0.0000 0.5000 0.5000  8 B 2.08-2.13
22 B 0.0000 0.6259 0.9590  4 B 1.67-1.77
23 Y 0.5000 0.1865 0.3628  20 B 2.83-2.99, 2 Ni 3.11
24 B 0.6989 0.7013 0.3859  4 B 1.65-1.77
25 B 0.0000 0.3741 0.0410  4 B 1.67-1.77
26 B 0.0000 0.8413 0.3017  5 B 1.65-1.76

Crystal system   orthorhombic
Formation energy from the elements   -0.5050 eV/atom

***

(19)
VASP calculation (PBE) on a geometry-optimized CrCuPd2C structure.

Cell lengths 4.7021, 3.5979, 4.7021 Å; angles 90.00, 90.00, 90.00 degrees
Closest atoms and distances in Å follow each position.
Fractional positions:
1 Cu 0.5000 0.5000 0.5000  8 Pd 2.96
2 Pd 0.0000 0.0000 0.5000  2 Cr 2.35
3 C 0.0000 0.5000 0.0000  2 Cr 1.80
4 Cr 0.0000 0.0000 0.0000  2 C 1.80
5 Pd 0.5000 0.0000 0.0000  2 Cr 2.35

Crystal system   tetragonal
Formation energy from the elements   1.2403 eV/atom

***

(20)
VASP calculation (PBE) on a geometry-optimized MnPdBr5 structure.

Cell lengths 8.5216, 7.4670, 10.3361 Å; angles 121.43, 110.20, 102.39 degrees
Closest atoms and distances in Å follow each position.
Fractional positions:
1 Pd 0.0063 0.2767 0.6570  4 Br 2.46-2.49
2 Pd 0.9937 0.7233 0.3430  4 Br 2.46-2.49
3 Br 0.8235 0.8405 0.4985  2 Pd 2.48-2.49
4 Br 0.1495 0.7014 0.7886  1 Pd 2.47, 1 Mn 2.49
5 Br 0.5978 0.7214 0.9823  1 Mn 2.35
6 Mn 0.5000 0.0000 0.0000  4 Br 2.35-2.49
7 Mn 0.5000 0.0000 0.5000  4 Br 2.40-2.47
8 Br 0.1934 0.6388 0.2185  1 Pd 2.46, 1 Mn 2.47
9 Br 0.4832 0.8420 0.6495  1 Mn 2.40
10 Br 0.8066 0.3612 0.7815  1 Pd 2.46, 1 Mn 2.47
11 Br 0.5168 0.1580 0.3505  1 Mn 2.40
12 Br 0.1765 0.1595 0.5015  2 Pd 2.48-2.49
13 Br 0.8505 0.2986 0.2114  1 Pd 2.47, 1 Mn 2.49
14 Br 0.4022 0.2786 0.0177  1 Mn 2.35

Crystal system   triclinic
Formation energy from raw total energies   -0.43 eV per atom

***

no.,magnetization (μB per cell)
1,0.00
2,0.00
3,0.00
4,0.00
5,0.00
6,0.00
7,0.00
8,0.83
9,0.00
10,0.00
11,0.00
12,0.00
13,0.31
14,0.00
15,0.00
16,0.21
17,0.00
18,0.00
19,0.79
20,7.87